i:
Material: PrTmZnPd
Method: DFT, PBE
State: relaxed

The structure in POSCAR format:
```
PrTmZnPd
1.0
-2.767 -2.254 0.455
1.321 -0.976 3.201
-3.724 5.205 3.124
Zn Pd Pr Tm
1 1 1 1
Direct
0.500 0.500 0.581
0.500 0.500 0.141
0.000 0.000 0.858
0.000 0.000 0.348
```

The value obtained for the total moment is 0.00 μB/cell. The crystal system is tetragonal. Its density of states at the Fermi level is 0.8672 states/eV/atom. As for the symmetry: P4mm.



ii:
Material: PrTmZnPd
Method: DFT, PBE
State: relaxed

The structure in POSCAR format:
```
PrTmZnPd
1.0
-4.667 -1.445 1.396
-0.853 -4.803 1.423
-0.978 -1.071 4.870
Pd Zn Pr Tm
1 1 1 1
Direct
0.500 0.500 0.500
0.000 0.000 0.000
0.250 0.250 0.250
0.750 0.750 0.750
```

The value obtained for the total moment is 0.00 μB/cell. The crystal system is cubic. Its density of states at the Fermi level is 0.8370 states/eV/atom. As for the symmetry: F-43m.



Least stable of them? ii.



i:
Material: PrYPd2
Method: DFT, PBE
State: relaxed

The structure in POSCAR format:
```
PrYPd2
1.0
-3.362 0.982 1.602
-2.167 -3.092 -2.653
2.394 -4.247 2.994
Pd Pr Y
2 1 1
Direct
0.999 0.000 0.537
0.169 0.500 0.877
0.444 0.500 0.427
0.718 0.000 0.976
```

The value obtained for the total moment is 0.00 μB/cell. The crystal system is orthorhombic. Its density of states at the Fermi level is 0.6641 states/eV/atom. As for the symmetry: Amm2.



ii:
Material: PrYPd2
Method: DFT, PBE
State: relaxed

The structure in POSCAR format:
```
PrYPd2
1.0
4.189 0.000 0.000
2.095 3.628 0.000
2.095 1.209 6.732
Pd Y Pr
2 1 1
Direct
0.254 0.254 0.237
0.746 0.746 0.763
0.000 0.000 0.000
0.500 0.500 0.500
```

The value obtained for the total moment is 0.00 μB/cell. The crystal system is trigonal. Its density of states at the Fermi level is 0.6372 states/eV/atom. As for the symmetry: R-3m.



iii:
Material: PrYPd2
Method: DFT, PBE
State: relaxed

The structure in POSCAR format:
```
PrYPd2
1.0
5.078 0.000 0.000
2.539 4.398 0.000
2.539 1.466 4.146
Y Pd Pr
1 2 1
Direct
0.500 0.500 0.500
0.250 0.250 0.250
0.750 0.750 0.750
0.000 0.000 0.000
```

The value obtained for the total moment is 0.00 μB/cell. The crystal system is cubic. Its density of states at the Fermi level is 1.0534 states/eV/atom. As for the symmetry: Fm-3m.



iv:
Material: PrYPd2
Method: DFT, PBE
State: relaxed

The structure in POSCAR format:
```
PrYPd2
1.0
3.519 0.000 0.000
0.000 3.519 0.000
0.000 0.000 7.413
Pd Pr Y
2 1 1
Direct
0.000 0.000 0.771
0.000 0.000 0.229
0.500 0.500 0.500
0.500 0.500 0.000
```

The value obtained for the total moment is 0.00 μB/cell. The crystal system is tetragonal. Its density of states at the Fermi level is 0.8083 states/eV/atom. As for the symmetry: P4/mmm.



Least stable of them? ii.